[1]
! BeSb2Au (PBE, relaxed); values from VASP
! **Space group**: No. 65
! **DFT total energy**: -3.350 eV/atom
! **ΔE_f (raw)**: 0.462 eV per atom
! **Magnetization**: 0.00 μB per atom
&SYSTEM
  ibrav = 0, nat = 4, ntyp = 3
/
ATOMIC_SPECIES
Be 9.01 Be.upf
Sb 121.76 Sb.upf
Au 196.97 Au.upf
CELL_PARAMETERS angstrom
3.3122 -3.8408 0.0000
3.3122 3.8408 0.0000
0.0000 0.0000 3.2954
ATOMIC_POSITIONS crystal
Be 0.0000 0.0000 0.0000
Sb 0.0000 0.5000 0.5000
Sb 0.5000 0.0000 0.5000
Au 0.5000 0.5000 0.0000

[2]
! MgIrAu (PBE, relaxed); values from VASP
! **Space group**: No. 44
! **DFT total energy**: -4.654 eV/atom
! **ΔE_f**: -0.077 eV per atom
! **Polymorph energy (0 for the lowest one)**: 68.5 meV per atom
! **Magnetization**: 0.00 μB per atom
&SYSTEM
  ibrav = 0, nat = 3, ntyp = 3
/
ATOMIC_SPECIES
Mg 24.30 Mg.upf
Ir 192.22 Ir.upf
Au 196.97 Au.upf
CELL_PARAMETERS angstrom
-1.4313 1.9914 4.3427
1.4313 -1.9914 4.3427
1.4313 1.9914 -4.3427
ATOMIC_POSITIONS crystal
Mg 0.0000 0.0000 0.0000
Ir 0.6562 0.6562 0.0000
Au 0.3291 0.3291 0.0000